No. 1
! Y2Al14Co3 (PBEsol, optimized geometry); values from VASP
! * VASP energy: -0.1986 Ha/atom
! * size of the total moment: 0.000 Bohr magnetons per cell
! * formation enthalpy at 0 K: -0.451 eV/atom
! * mass density: 4.139 g/cm³
&SYSTEM
  ibrav = 0, nat = 38, ntyp = 3
/
ATOMIC_SPECIES
Al 26.98 Al.upf
Co 58.93 Co.upf
Y 88.91 Y.upf
CELL_PARAMETERS angstrom
-0.908 8.309 2.536
-6.193 1.201 -6.154
-2.275 -2.712 8.071
ATOMIC_POSITIONS angstrom
Al -4.403 6.107 5.623
Al -5.255 3.257 -0.387
Al -4.974 0.691 -1.170
Al -4.122 3.541 4.840
Al -2.391 4.478 7.035
Al -6.772 4.364 5.841
Al -3.626 5.630 2.819
Al -6.986 2.320 -2.582
Al -2.606 2.434 -1.387
Al -5.751 1.168 1.634
Al -4.398 2.782 -3.168
Al -7.645 1.535 -0.247
Al -3.301 1.605 1.080
Al -4.979 4.016 7.621
Al -1.732 5.263 4.700
Al -6.076 5.193 3.373
Al -5.975 -1.274 2.699
Al -1.862 -0.540 1.768
Al -2.967 -1.858 5.688
Al -2.988 4.285 0.598
Al -7.101 3.551 1.529
Al -5.996 4.869 -2.391
Al -7.515 7.339 2.685
Al -3.402 8.072 1.754
Al -6.410 8.656 -1.235
Al -2.276 3.247 2.924
Al -6.389 2.513 3.855
Al -3.381 1.930 6.844
Co -1.138 -1.356 4.036
Co -3.097 0.601 -3.077
Co -4.234 -0.755 0.958
Co -1.592 2.798 5.304
Co -3.551 4.755 -1.809
Co -4.689 3.399 2.227
Y -0.681 6.232 1.902
Y -0.227 2.077 0.634
Y -3.808 0.670 3.963
Y -5.569 6.129 0.490

=====

No. 2
! YAl8Co2 (PBEsol, optimized geometry); values from VASP
! * VASP energy: -0.2009 Ha/atom
! * size of the total moment: 0.001 Bohr magnetons per cell
! * formation enthalpy at 0 K: -0.465 eV/atom
! * mass density: 4.082 g/cm³
&SYSTEM
  ibrav = 0, nat = 44, ntyp = 3
/
ATOMIC_SPECIES
Al 26.98 Al.upf
Co 58.93 Co.upf
Y 88.91 Y.upf
CELL_PARAMETERS angstrom
-1.478 -3.211 -1.703
8.879 -6.810 5.135
-8.278 -2.219 11.371
ATOMIC_POSITIONS angstrom
Al -7.706 -3.697 9.141
Al 6.828 -8.543 5.662
Al 0.439 -5.660 5.773
Al -1.317 -6.579 9.030
Al 0.680 -2.770 0.114
Al -1.558 -9.469 14.689
Al -2.006 -4.994 6.640
Al 1.128 -7.245 8.163
Al -4.458 -4.080 7.044
Al 3.581 -8.159 7.759
Al 1.265 -4.185 2.275
Al -2.142 -8.054 12.528
Al -5.478 -5.048 9.755
Al 4.601 -7.191 5.048
Al -1.098 -4.124 4.209
Al 0.220 -8.116 10.593
Al -3.505 -6.505 10.790
Al 2.628 -5.734 4.013
Al -2.962 -2.638 3.025
Al 2.084 -9.602 11.778
Al -5.323 -2.320 8.996
Al 5.923 -6.709 7.509
Al 1.529 -3.291 4.880
Al -0.929 -5.737 11.626
Al -4.889 -4.437 12.612
Al 5.489 -4.591 3.893
Al -2.353 -2.098 6.000
Al 2.953 -6.930 10.506
Al -4.878 -2.715 4.834
Al 3.700 -5.010 1.716
Al 0.000 0.000 0.000
Al 0.300 -4.514 8.253
Co -4.610 -1.556 6.936
Co 5.211 -7.473 9.570
Co 3.350 -3.377 3.460
Co -2.749 -5.652 13.045
Co -6.130 -3.043 11.060
Co 6.731 -5.986 5.446
Co -0.256 -3.264 6.378
Co 0.857 -5.765 10.128
Y -2.608 -3.831 9.488
Y 3.208 -5.198 7.018
Y -0.080 -1.485 2.870
Y 0.681 -7.544 13.635

=====

No. 3
! Y2Al2Co15 (PBEsol, optimized geometry); values from VASP
! * VASP energy: -0.2724 Ha/atom
! * size of the total moment: 37.875 Bohr magnetons per cell
! * formation enthalpy at 0 K: -0.155 eV/atom
! * mass density: 7.942 g/cm³
&SYSTEM
  ibrav = 0, nat = 38, ntyp = 3
/
ATOMIC_SPECIES
Al 26.98 Al.upf
Co 58.93 Co.upf
Y 88.91 Y.upf
CELL_PARAMETERS angstrom
8.088 0.000 0.000
0.000 8.161 0.000
0.000 -4.081 7.068
ATOMIC_POSITIONS angstrom
Al 7.307 0.000 4.712
Al 3.263 4.081 2.356
Al 0.782 4.081 2.356
Al 4.826 0.000 4.712
Co 0.000 -2.040 3.534
Co 0.000 4.081 0.000
Co 0.000 2.040 3.534
Co 4.044 -2.040 3.534
Co 4.044 4.081 0.000
Co 4.044 2.040 3.534
Co 6.066 -2.350 4.751
Co 6.066 1.209 6.728
Co 6.066 1.141 2.657
Co 2.022 6.431 2.317
Co 2.022 2.872 0.340
Co 2.022 2.940 4.411
Co 2.022 5.290 0.340
Co 2.022 5.222 4.411
Co 2.022 1.731 2.317
Co 6.066 -1.209 6.728
Co 6.066 -1.141 2.657
Co 6.066 2.350 4.751
Co 0.216 2.077 5.911
Co 0.216 0.000 2.313
Co 0.216 -2.077 5.911
Co 4.261 2.003 1.157
Co 4.261 4.081 4.755
Co 4.261 6.158 1.157
Co 7.872 4.081 4.755
Co 7.872 2.003 1.157
Co 7.872 6.158 1.157
Co 3.828 0.000 2.313
Co 3.828 2.077 5.911
Co 3.828 -2.077 5.911
Y 6.066 0.000 0.000
Y 2.022 0.000 0.000
Y 2.022 0.000 4.712
Y 6.066 4.081 2.356

=====

Repeat the third record exactly.
! Y2Al2Co15 (PBEsol, optimized geometry); values from VASP
! * VASP energy: -0.2724 Ha/atom
! * size of the total moment: 37.875 Bohr magnetons per cell
! * formation enthalpy at 0 K: -0.155 eV/atom
! * mass density: 7.942 g/cm³
&SYSTEM
  ibrav = 0, nat = 38, ntyp = 3
/
ATOMIC_SPECIES
Al 26.98 Al.upf
Co 58.93 Co.upf
Y 88.91 Y.upf
CELL_PARAMETERS angstrom
8.088 0.000 0.000
0.000 8.161 0.000
0.000 -4.081 7.068
ATOMIC_POSITIONS angstrom
Al 7.307 0.000 4.712
Al 3.263 4.081 2.356
Al 0.782 4.081 2.356
Al 4.826 0.000 4.712
Co 0.000 -2.040 3.534
Co 0.000 4.081 0.000
Co 0.000 2.040 3.534
Co 4.044 -2.040 3.534
Co 4.044 4.081 0.000
Co 4.044 2.040 3.534
Co 6.066 -2.350 4.751
Co 6.066 1.209 6.728
Co 6.066 1.141 2.657
Co 2.022 6.431 2.317
Co 2.022 2.872 0.340
Co 2.022 2.940 4.411
Co 2.022 5.290 0.340
Co 2.022 5.222 4.411
Co 2.022 1.731 2.317
Co 6.066 -1.209 6.728
Co 6.066 -1.141 2.657
Co 6.066 2.350 4.751
Co 0.216 2.077 5.911
Co 0.216 0.000 2.313
Co 0.216 -2.077 5.911
Co 4.261 2.003 1.157
Co 4.261 4.081 4.755
Co 4.261 6.158 1.157
Co 7.872 4.081 4.755
Co 7.872 2.003 1.157
Co 7.872 6.158 1.157
Co 3.828 0.000 2.313
Co 3.828 2.077 5.911
Co 3.828 -2.077 5.911
Y 6.066 0.000 0.000
Y 2.022 0.000 0.000
Y 2.022 0.000 4.712
Y 6.066 4.081 2.356

=====

- Which formula does entry 2 have?
  YAl8Co2